No. 1
VASP calculation (PBE) on an optimized crystal structure of CaAgSb2.

Summary:
E, eV per atom: -3.4664
Formation energy (no corrections), meV/atom: -192

a = 5.2840 Å, b = 5.2840 Å, c = 5.2840 Å
α = 60.00°, β = 60.00°, γ = 60.00°
Fractional positions:
Ca1 0.0000 0.0000 0.0000
Ag1 0.7500 0.7500 0.7500
Sb1 0.2500 0.2500 0.2500
Sb2 0.5000 0.5000 0.5000



No. 2
VASP calculation (PBE) on an optimized crystal structure of CaAgSb.

Summary:
E, eV per atom: -3.2545
Formation energy (no corrections), meV/atom: -263

a = 4.6071 Å, b = 4.6071 Å, c = 7.4561 Å
α = 90.00°, β = 90.00°, γ = 90.00°
Fractional positions:
Ca1 0.2500 0.7500 0.0000
Ca2 0.7500 0.2500 0.0000
Ag1 0.2500 0.2500 0.3157
Ag2 0.7500 0.7500 0.6843
Sb1 0.2500 0.2500 0.7010
Sb2 0.7500 0.7500 0.2990



No. 3
VASP calculation (PBE) on an optimized crystal structure of CaAgSb2.

Summary:
E, eV per atom: -3.6020
Formation energy (no corrections), meV/atom: -328

a = 3.2936 Å, b = 5.4828 Å, c = 5.7900 Å
α = 90.00°, β = 90.02°, γ = 90.00°
Fractional positions:
Ca1 0.0000 0.0000 0.0000
Ag1 0.4970 0.5000 0.6867
Sb1 0.5000 0.0000 0.5083
Sb2 0.5003 0.5000 0.1761



No. 4
VASP calculation (PBE) on an optimized crystal structure of CaAgSb2.

Summary:
E, eV per atom: -3.5633
Formation energy (no corrections), meV/atom: -289

a = 6.3263 Å, b = 6.3263 Å, c = 6.3263 Å
α = 44.90°, β = 44.90°, γ = 44.90°
Fractional positions:
Ca1 0.0000 0.0000 0.0000
Ag1 0.8096 0.8096 0.8096
Sb1 0.2364 0.2364 0.2364
Sb2 0.4130 0.4130 0.4130



No. 5
VASP calculation (PBE) on an optimized crystal structure of Ca3AgSb2.

Summary:
E, eV per atom: -3.6523
Formation energy (no corrections), meV/atom: -802

a = 12.3268 Å, b = 4.6365 Å, c = 12.3133 Å
α = 90.00°, β = 90.00°, γ = 90.00°
Fractional positions:
Ca1 0.0539 0.2500 0.1237
Ca2 0.1302 0.7500 0.5578
Ca3 0.2173 0.2500 0.7971
Ca4 0.2827 0.7500 0.2971
Ca5 0.3698 0.2500 0.0578
Ca6 0.4461 0.7500 0.6237
Ca7 0.5539 0.2500 0.3763
Ca8 0.6302 0.7500 0.9422
Ca9 0.7173 0.2500 0.7029
Ca10 0.7827 0.7500 0.2029
Ca11 0.8698 0.2500 0.4422
Ca12 0.9461 0.7500 0.8763
Ag1 0.1313 0.2500 0.3661
Ag2 0.3687 0.7500 0.8661
Ag3 0.6313 0.2500 0.1339
Ag4 0.8687 0.7500 0.6339
Sb1 0.0114 0.7500 0.3160
Sb2 0.1846 0.7500 0.9991
Sb3 0.3154 0.2500 0.4991
Sb4 0.4886 0.2500 0.8160
Sb5 0.5114 0.7500 0.1840
Sb6 0.6846 0.7500 0.5009
Sb7 0.8154 0.2500 0.0009
Sb8 0.9886 0.2500 0.6840



No. 6
VASP calculation (PBE) on an optimized crystal structure of CaAgSb2.

Summary:
E, eV per atom: -3.5269
Formation energy (no corrections), meV/atom: -253

a = 4.0554 Å, b = 4.0554 Å, c = 6.3081 Å
α = 90.00°, β = 90.00°, γ = 90.00°
Fractional positions:
Ca1 0.0000 0.0000 0.0000
Ag1 0.5000 0.5000 0.6994
Sb1 0.0000 0.0000 0.5055
Sb2 0.5000 0.5000 0.2254



Repeat the sixth record exactly.
VASP calculation (PBE) on an optimized crystal structure of CaAgSb2.

Summary:
E, eV per atom: -3.5269
Formation energy (no corrections), meV/atom: -253

a = 4.0554 Å, b = 4.0554 Å, c = 6.3081 Å
α = 90.00°, β = 90.00°, γ = 90.00°
Fractional positions:
Ca1 0.0000 0.0000 0.0000
Ag1 0.5000 0.5000 0.6994
Sb1 0.0000 0.0000 0.5055
Sb2 0.5000 0.5000 0.2254



> Among the records above, which one has the highest formation energy (no corrections)?

number 1



> Which value of E does entry 5 give?

-3.6523 eV per atom